An optimized crystal structure of PmTcAs2. Source: Alexandria, functional PBE.

## Properties
- Energy of formation from the pure elements: -421 meV/atom
- Energy above the lowest structure with this stoichiometry: 0.255 eV/atom

Cell lengths 3.215, 3.215, 7.172 Å; angles 90.00, 90.00, 90.00 degrees
Fractional positions:
Pm  0.500  0.500  0.000
Tc  0.500  0.500  0.500
As  0.000  0.000  0.296
As  0.000  0.000  0.704

---

An optimized crystal structure of Sn2MoI. Source: Alexandria, functional PBE.

## Properties
- Energy above the lowest structure with this stoichiometry: 0.229 eV/atom

Cell lengths 5.142, 5.142, 5.142 Å; angles 60.00, 60.00, 60.00 degrees
Fractional positions:
Sn  0.250  0.250  0.250
Sn  0.750  0.750  0.750
Mo  0.000  0.000  0.000
I  0.500  0.500  0.500